Entry 1:
Density functional theory data (PBE) for crystalline LiPuGe at its relaxed geometry.

Cell and atoms, written as CIF:
```
data_LiPuGe
_symmetry_space_group_name_H-M 'P -6 m 2'
_symmetry_Int_Tables_number 187
_symmetry_space_group_name_Hall 'P -6 2'
_cell_length_a 4.6101
_cell_length_b 4.6101
_cell_length_c 3.2451
_cell_angle_alpha 90.00
_cell_angle_beta 90.00
_cell_angle_gamma 120.00
loop_
_atom_site_label
_atom_site_fract_x
_atom_site_fract_y
_atom_site_fract_z
_atom_site_occupancy
Li1 0.0000 0.0000 0.0000 1
Pu1 0.6667 0.3333 0.5000 1
Ge1 0.3333 0.6667 0.0000 1
```

---

Entry 2:
# ScNbGa4 PBE relaxed
data_ScNbGa4
_symmetry_space_group_name_H-M 'F -4 3 m'
_symmetry_Int_Tables_number 216
_symmetry_space_group_name_Hall 'F -4 2 3'
_cell_length_a 7.354
_cell_length_b 7.354
_cell_length_c 7.354
_cell_angle_alpha 90.00
_cell_angle_beta 90.00
_cell_angle_gamma 90.00
loop_
_atom_site_label
_atom_site_fract_x
_atom_site_fract_y
_atom_site_fract_z
_atom_site_occupancy
Sc1 0.000 0.000 0.000 1
Nb1 0.250 0.250 0.750 1
Ga1 0.125 0.125 0.375 1
# Polymorph energy (0 for the lowest one) = 0 meV/atom

---

The evaluated E for the records listed, in turn: -7.271, -5.103 eV per atom.